This record from Alexandria via LeMat-Bulk describes an optimized crystal structure of YMn2IO. The functional is GGA+U.

Geometry as POSCAR:
```
YMn2IO
1.0
-6.0583 0.5426 -0.8608
0.6065 -2.2475 -5.6850
-0.7710 -5.3708 2.0410
Mn O I Y
2 1 1 1
direct
0.0000 0.5000 0.0000 Mn
0.5000 0.0000 0.0000 Mn
0.5000 0.5000 0.5000 O
0.0000 0.0000 0.5000 I
0.0000 0.0000 0.0000 Y
```

* V: 218.8 Å³ per cell
* uncorrected energy: -4.481 eV/atom